VASP calculation (PBE+U) on crystalline TiMnVO6 at its relaxed geometry.

Unit cell a=4.9755 b=4.9755 c=8.8342 alpha=90.00 beta=90.00 gamma=120.00
Space group P-31c (No. 163)
Symmetry-distinct sites (fractional):
Ti  0.3333  0.6667  0.2500 [2 per cell]
Mn  0.0000  0.0000  0.0000 [2 per cell]
V  0.3333  0.6667  0.7500 [2 per cell]
O  0.0097  0.3514  0.6325 [12 per cell]

Summary:
- Electronic total energy: -7.900 eV per atom